Density functional theory data (PBE-GGA) for a relaxed structure of AlCrFeOs.

```
AlCrFeOs
1.0
-2.2616 -2.9133 -1.8790
0.1519 -3.9165 1.3306
-3.2624 -1.6562 1.9356
Cr Os Fe Al
1 1 1 1
direct
0.0000 0.0000 0.0000 Cr
0.2500 0.2500 0.2500 Os
0.7500 0.7500 0.7500 Fe
0.5000 0.5000 0.5000 Al
```

Output
E_tot (eV per atom): -8.44
Space-group type: F-43m (216)